First-principles (PBE) data for Ru2IBr after structural relaxation, as listed in Alexandria.

Values from the calculation:
- DOS(E_F): 3.6 states/eV/f.u.
- Magnetic moment: 0.00 Bohr magnetons per cell
- Uncorrected formation energy: 512 meV per atom
- Calculated volume: 99.43 Å³ per cell
- Offset from the most stable computed form: 294 meV per atom
- Crystal system: monoclinic

Unit cell a=5.047 b=3.935 c=5.178 alpha=90.00 beta=104.80 gamma=90.00
Sites, in units of the cell vectors:
Ru (0.292, 0.000, 0.437)
Ru (0.127, 0.500, 0.586)
I (0.017, 0.000, 0.932)
Br (0.632, 0.500, 0.337)